1.
This record from Alexandria via LeMat-Bulk describes a PBEsol-optimized structure of Sb2PtIN. The functional is meta-GGA SCAN.

Computed properties:
Calculated volume (Å³ per cell): 100.50
Total energy (eV/cell): -185.6
Magnetic moment (μB per atom): 0.000
Space-group type: P4/mmm (123)

Cell: 4.7180 4.7180 4.5150 Å, 90.00 90.00 90.00°
With the nearest neighbours (Å) after each atom.
Sites, in units of the cell vectors:
Sb  0.0000  0.5000  0.0000  2 N 2.36
Sb  0.5000  0.0000  0.0000  2 N 2.36
Pt  0.0000  0.0000  0.5000  8 Sb 3.27, 4 I 3.34
I  0.5000  0.5000  0.5000  2 N 2.26
N  0.5000  0.5000  0.0000  2 I 2.26, 4 Sb 2.36

2.
This record from Alexandria via LeMat-Bulk describes a PBEsol-optimized structure of Zr2TiAsPd. The functional is meta-GGA SCAN.

Computed properties:
Calculated volume (Å³ per cell): 113.85
Formation enthalpy at 0 K (eV per atom): 0.4007
Total energy (eV/cell): -128.4
Magnetic moment (μB per atom): 0.623
Space-group type: P4/mmm (123)

Cell: 5.0209 5.0209 4.5162 Å, 90.00 90.00 90.00°
With the nearest neighbours (Å) after each atom.
Sites, in units of the cell vectors:
Zr  0.0000  0.5000  0.0000  2 Pd 2.51
Zr  0.5000  0.0000  0.0000  2 Pd 2.51
Ti  0.0000  0.0000  0.5000  8 Zr 3.38, 4 As 3.55
As  0.5000  0.5000  0.5000  2 Pd 2.26
Pd  0.5000  0.5000  0.0000  2 As 2.26, 4 Zr 2.51

3.
This record from Alexandria via LeMat-Bulk describes a PBEsol-optimized structure of LiTeH12N4. The functional is meta-GGA SCAN.

Computed properties:
Calculated volume (Å³ per cell): 351.14
Total energy (eV/cell): -252.7
Magnetic moment (μB per atom): 0.000
Space-group type: P-1 (2)

Cell: 6.6487 7.1928 8.2071 Å, 99.97 113.33 93.64°
With the nearest neighbours (Å) after each atom.
Sites, in units of the cell vectors:
Li  0.0906  0.4177  0.2880  4 N 2.04-2.09
Li  0.9094  0.5823  0.7120  4 N 2.04-2.09
Te  0.4884  0.0532  0.8422  1 Te 2.78, 9 H 2.80-2.97
Te  0.5116  0.9468  0.1578  1 Te 2.78, 9 H 2.80-2.97
H  0.0377  0.9029  0.6787  1 N 1.04
H  0.0674  0.7830  0.0241  1 N 1.04
H  0.0951  0.3848  0.9533  1 N 1.03
H  0.1833  0.1450  0.5160  1 N 1.03
H  0.2027  0.2106  0.0497  1 N 1.03
H  0.2123  0.0940  0.3230  1 N 1.03
H  0.2448  0.5304  0.6440  1 N 1.03
H  0.2873  0.3931  0.7918  1 N 1.04
H  0.3038  0.7219  0.3122  1 N 1.03
H  0.3305  0.6286  0.8616  1 N 1.04
H  0.3358  0.7628  0.5260  1 N 1.04
H  0.4963  0.6351  0.4618  1 N 1.03
H  0.5037  0.3649  0.5382  1 N 1.03
H  0.6642  0.2372  0.4740  1 N 1.04
H  0.6695  0.3714  0.1384  1 N 1.04
H  0.6962  0.2781  0.6878  1 N 1.03
H  0.7127  0.6069  0.2082  1 N 1.04
H  0.7552  0.4696  0.3560  1 N 1.03
H  0.7877  0.9060  0.6770  1 N 1.03
H  0.7973  0.7894  0.9503  1 N 1.03
H  0.8167  0.8550  0.4840  1 N 1.03
H  0.9049  0.6152  0.0467  1 N 1.03
H  0.9326  0.2170  0.9759  1 N 1.04
H  0.9623  0.0971  0.3213  1 N 1.04
N  0.0863  0.3016  0.0408  3 H 1.03-1.04
N  0.1239  0.1675  0.3853  3 H 1.03-1.04
N  0.2249  0.5166  0.7596  3 H 1.03-1.04
N  0.3339  0.6576  0.4213  3 H 1.03-1.04
N  0.6661  0.3424  0.5787  3 H 1.03-1.04
N  0.7751  0.4834  0.2404  3 H 1.03-1.04
N  0.8761  0.8325  0.6147  3 H 1.03-1.04
N  0.9137  0.6984  0.9592  3 H 1.03-1.04

4.
This record from Alexandria via LeMat-Bulk describes a PBEsol-optimized structure of Fe2NiIr. The functional is meta-GGA SCAN.

Computed properties:
Calculated volume (Å³ per cell): 47.19
Formation enthalpy at 0 K (eV per atom): -0.1610
Total energy (eV/cell): -124.2
Magnetic moment (μB per atom): 1.616
Space-group type: Cmmm (65)

Cell: 4.3967 4.3967 2.5846 Å, 90.00 90.00 109.18°
With the nearest neighbours (Å) after each atom.
Sites, in units of the cell vectors:
Fe  0.0000  0.5000  0.0000  4 Fe 2.55-2.58, 4 Ni 2.55, 4 Ir 2.55
Fe  0.5000  0.0000  0.0000  4 Fe 2.55-2.58, 4 Ni 2.55, 4 Ir 2.55
Ni  0.0000  0.0000  0.5000  2 Ir 2.55, 8 Fe 2.55, 2 Ni 2.58
Ir  0.5000  0.5000  0.5000  2 Ni 2.55, 8 Fe 2.55, 2 Ir 2.58

5.
This record from Alexandria via LeMat-Bulk describes a PBEsol-optimized structure of Li2TaAg. The functional is meta-GGA SCAN.

Computed properties:
Calculated volume (Å³ per cell): 63.56
Energy above the most stable polymorph in this dataset (eV/f.u.): 0.00
Formation enthalpy at 0 K (eV per atom): 0.2129
Total energy (eV/cell): -101.9
Magnetic moment (μB per atom): 0.000
Space-group type: P4/mmm (123)

Cell: 2.7043 2.7043 8.6903 Å, 90.00 90.00 90.00°
With the nearest neighbours (Å) after each atom.
Sites, in units of the cell vectors:
Li  0.0000  0.0000  0.2310  4 Li 2.70, 4 Ag 2.77, 4 Ta 3.02
Li  0.0000  0.0000  0.7690  4 Li 2.70, 4 Ag 2.77, 4 Ta 3.02
Ta  0.5000  0.5000  0.5000  4 Ta 2.70, 8 Li 3.02
Ag  0.5000  0.5000  0.0000  4 Ag 2.70, 8 Li 2.77

6.
This record from Alexandria via LeMat-Bulk describes a PBEsol-optimized structure of Te2MoS. The functional is meta-GGA SCAN.

Computed properties:
Calculated volume (Å³ per cell): 94.93
Total energy (eV/cell): -118.0
Magnetic moment (μB per atom): 0.000
Space-group type: R-3m (166)

Cell: 8.8105 8.8105 8.8105 Å, 23.43 23.43 23.43°
With the nearest neighbours (Å) after each atom.
Sites, in units of the cell vectors:
Te  0.0975  0.0975  0.0975  1 S 2.51, 3 Mo 2.72
Te  0.9025  0.9025  0.9025  1 S 2.51, 3 Mo 2.72
Mo  0.5000  0.5000  0.5000  6 Te 2.72
S  0.0000  0.0000  0.0000  2 Te 2.51

7.
This record from Alexandria via LeMat-Bulk describes a PBEsol-optimized structure of ZrNiH2. The functional is meta-GGA SCAN.

Computed properties:
Calculated volume (Å³ per cell): 35.81
Total energy (eV/cell): -54.3
Magnetic moment (μB per atom): 0.000
Space-group type: Fm-3m (225)

Cell: 3.6996 3.6996 3.6996 Å, 60.00 60.00 60.00°
With the nearest neighbours (Å) after each atom.
Sites, in units of the cell vectors:
Zr  0.0000  0.0000  0.0000  8 H 2.27
Ni  0.5000  0.5000  0.5000  8 H 2.27
H  0.2500  0.2500  0.2500  4 Ni 2.27, 4 Zr 2.27
H  0.7500  0.7500  0.7500  4 Ni 2.27, 4 Zr 2.27

8.
This record from Alexandria via LeMat-Bulk describes a PBEsol-optimized structure of Mn4CoIr. The functional is meta-GGA SCAN.

Computed properties:
Calculated volume (Å³ per cell): 66.70
Formation enthalpy at 0 K (eV per atom): 0.1571
Total energy (eV/cell): -160.5
Magnetic moment (μB per atom): 0.727
Space-group type: F-43m (216)

Cell: 4.5520 4.5520 4.5520 Å, 60.00 60.00 60.00°
With the nearest neighbours (Å) after each atom.
Sites, in units of the cell vectors:
Mn  0.3763  0.3763  0.3763  6 Mn 2.25-2.30
Mn  0.3763  0.3763  0.8712  6 Mn 2.25-2.30
Mn  0.3763  0.8712  0.3763  6 Mn 2.25-2.30
Mn  0.8712  0.3763  0.3763  6 Mn 2.25-2.30
Co  0.7500  0.7500  0.7500  12 Mn 2.67, 4 Ir 2.79
Ir  0.0000  0.0000  0.0000  12 Mn 2.67, 4 Co 2.79

9.
This record from Alexandria via LeMat-Bulk describes a PBEsol-optimized structure of LuB2C. The functional is meta-GGA SCAN.

Computed properties:
Calculated volume (Å³ per cell): 158.11
Formation enthalpy at 0 K (eV per atom): -0.6692
Total energy (eV/cell): -331.9
Magnetic moment (μB per atom): 0.000
Space-group type: Pbam (55)

Cell: 6.6318 6.7664 3.5234 Å, 90.00 90.00 90.00°
With the nearest neighbours (Å) after each atom.
Sites, in units of the cell vectors:
Lu  0.1887  0.1929  0.0000  4 C 2.49-2.51, 10 B 2.56-2.69
Lu  0.3113  0.6929  0.0000  4 C 2.49-2.51, 10 B 2.56-2.69
Lu  0.6887  0.3071  0.0000  4 C 2.49-2.51, 10 B 2.56-2.69
Lu  0.8113  0.8071  0.0000  4 C 2.49-2.51, 10 B 2.56-2.69
B  0.0962  0.9073  0.5000  1 C 1.59, 1 B 1.71
B  0.1526  0.4673  0.5000  2 C 1.61-1.62, 1 B 1.71
B  0.3474  0.9673  0.5000  2 C 1.61-1.62, 1 B 1.71
B  0.4038  0.4073  0.5000  1 C 1.59, 1 B 1.71
B  0.5962  0.5927  0.5000  1 C 1.59, 1 B 1.71
B  0.6526  0.0327  0.5000  2 C 1.61-1.62, 1 B 1.71
B  0.8474  0.5327  0.5000  2 C 1.61-1.62, 1 B 1.71
B  0.9038  0.0927  0.5000  1 C 1.59, 1 B 1.71
C  0.0412  0.6788  0.5000  3 B 1.59-1.62
C  0.4588  0.1788  0.5000  3 B 1.59-1.62
C  0.5412  0.8212  0.5000  3 B 1.59-1.62
C  0.9588  0.3212  0.5000  3 B 1.59-1.62

10.
This record from Alexandria via LeMat-Bulk describes a PBEsol-optimized structure of CuReTc2. The functional is meta-GGA SCAN.

Computed properties:
Calculated volume (Å³ per cell): 53.90
Energy above the most stable polymorph in this dataset (eV/f.u.): 0.00
Formation enthalpy at 0 K (eV per atom): 0.1956
Total energy (eV/cell): -155.6
Magnetic moment (μB per atom): 0.000
Space-group type: P4/mmm (123)

Cell: 3.7888 3.7888 3.7546 Å, 90.00 90.00 90.00°
With the nearest neighbours (Å) after each atom.
Sites, in units of the cell vectors:
Cu  0.0000  0.0000  0.0000  8 Tc 2.67, 4 Re 2.68
Re  0.5000  0.5000  0.0000  8 Tc 2.67, 4 Cu 2.68
Tc  0.0000  0.5000  0.5000  4 Re 2.67, 4 Cu 2.67, 4 Tc 2.68
Tc  0.5000  0.0000  0.5000  4 Re 2.67, 4 Cu 2.67, 4 Tc 2.68

11.
This record from Alexandria via LeMat-Bulk describes a PBEsol-optimized structure of Nb4CoSe8. The functional is meta-GGA SCAN.

Computed properties:
Calculated volume (Å³ per cell): 490.44
Total energy (eV/cell): -643.3
Magnetic moment (μB per atom): 0.000
Space-group type: P6_3/mmc (194)

Cell: 6.8518 6.8518 12.0627 Å, 90.00 90.00 120.00°
With the nearest neighbours (Å) after each atom.
Sites, in units of the cell vectors:
Nb  0.0000  0.0000  0.2500  6 Se 2.58
Nb  0.0000  0.0000  0.7500  6 Se 2.58
Nb  0.0190  0.5095  0.2500  6 Se 2.56-2.62
Nb  0.4905  0.5095  0.2500  6 Se 2.56-2.62
Nb  0.4905  0.9810  0.2500  6 Se 2.56-2.62
Nb  0.5095  0.0190  0.7500  6 Se 2.56-2.62
Nb  0.5095  0.4905  0.7500  6 Se 2.56-2.62
Nb  0.9810  0.4905  0.7500  6 Se 2.56-2.62
Co  0.0000  0.0000  0.0000  6 Se 2.41
Co  0.0000  0.0000  0.5000  6 Se 2.41
Se  0.1671  0.3343  0.6128  1 Co 2.41, 3 Nb 2.58-2.62
Se  0.1671  0.3343  0.8872  1 Co 2.41, 3 Nb 2.58-2.62
Se  0.1671  0.8329  0.6128  1 Co 2.41, 3 Nb 2.58-2.62
Se  0.1671  0.8329  0.8872  1 Co 2.41, 3 Nb 2.58-2.62
Se  0.3333  0.6667  0.1044  3 Nb 2.56
Se  0.3333  0.6667  0.3956  3 Nb 2.56
Se  0.3343  0.1671  0.1128  1 Co 2.41, 3 Nb 2.58-2.62
Se  0.3343  0.1671  0.3872  1 Co 2.41, 3 Nb 2.58-2.62
Se  0.6657  0.8329  0.6128  1 Co 2.41, 3 Nb 2.58-2.62
Se  0.6657  0.8329  0.8872  1 Co 2.41, 3 Nb 2.58-2.62
Se  0.6667  0.3333  0.6044  3 Nb 2.56
Se  0.6667  0.3333  0.8956  3 Nb 2.56
Se  0.8329  0.1671  0.1128  1 Co 2.41, 3 Nb 2.58-2.62
Se  0.8329  0.1671  0.3872  1 Co 2.41, 3 Nb 2.58-2.62
Se  0.8329  0.6657  0.1128  1 Co 2.41, 3 Nb 2.58-2.62
Se  0.8329  0.6657  0.3872  1 Co 2.41, 3 Nb 2.58-2.62

12.
This record from Alexandria via LeMat-Bulk describes a PBEsol-optimized structure of CoPdBr2. The functional is meta-GGA SCAN.

Computed properties:
Calculated volume (Å³ per cell): 89.39
Total energy (eV/cell): -88.0
Magnetic moment (μB per atom): 0.753
Space-group type: R-3m (166)

Cell: 7.9021 7.9021 7.9021 Å, 26.95 26.95 26.95°
With the nearest neighbours (Å) after each atom.
Sites, in units of the cell vectors:
Co  0.0000  0.0000  0.0000  2 Br 2.23
Pd  0.5000  0.5000  0.5000  6 Br 2.65
Br  0.0975  0.0975  0.0975  1 Co 2.23
Br  0.9025  0.9025  0.9025  1 Co 2.23

> Among the records above, which one has the lowest total energy?

Nb4CoSe8

> The highest total energy belongs to which entry?

ZrNiH2

> The highest magnetic moment belongs to which entry?

Fe2NiIr

Copy entry 12 word for word.
This record from Alexandria via LeMat-Bulk describes a PBEsol-optimized structure of CoPdBr2. The functional is meta-GGA SCAN.

Computed properties:
Calculated volume (Å³ per cell): 89.39
Total energy (eV/cell): -88.0
Magnetic moment (μB per atom): 0.753
Space-group type: R-3m (166)

Cell: 7.9021 7.9021 7.9021 Å, 26.95 26.95 26.95°
With the nearest neighbours (Å) after each atom.
Sites, in units of the cell vectors:
Co  0.0000  0.0000  0.0000  2 Br 2.23
Pd  0.5000  0.5000  0.5000  6 Br 2.65
Br  0.0975  0.0975  0.0975  1 Co 2.23
Br  0.9025  0.9025  0.9025  1 Co 2.23